DFT (PBE) results for LiHgCl2 after structural relaxation.

Summary:
* relative energy among the computed polymorphs: 100.6 meV per atom
* final energy: -2.331 eV per atom
* V: 97.4 Å³/f.u.
* formation energy (no corrections): -853 meV per atom

Cell lengths 3.5635, 3.6108, 7.7259 Å; angles 90.00, 101.50, 90.00 degrees
Closest atoms and distances in Å follow each position.
Positions (direct):
Li  0.0000  0.0000  0.0000  4 Cl 2.50
Hg  0.0000  0.0000  0.5000  4 Cl 2.92
Cl  0.1585  0.5000  0.8030  2 Li 2.50
Cl  0.8415  0.5000  0.1970  2 Li 2.50


DFT (PBE) results for Sm6DyTm2Th3 after structural relaxation.

Summary:
* final energy: -5.306 eV per atom
* DFT formation energy: 3.6 kJ/mol of atoms
* V: 391.6 Å³/f.u.

Cell lengths 6.2117, 6.2117, 11.8945 Å; angles 95.01, 95.01, 119.95 degrees
Closest atoms and distances in Å follow each position.
Positions (direct):
Sm  0.0825  0.4161  0.2476  3 Th 3.56, 6 Sm 3.58-3.59, 2 Tm 3.61, 1 Dy 3.61
Sm  0.2502  0.2502  0.7524  3 Th 3.56, 6 Sm 3.58-3.59, 2 Tm 3.61, 1 Dy 3.61
Sm  0.4161  0.0825  0.2476  3 Th 3.56, 6 Sm 3.58-3.59, 2 Tm 3.61, 1 Dy 3.61
Sm  0.5839  0.9175  0.7524  3 Th 3.56, 6 Sm 3.58-3.59, 2 Tm 3.61, 1 Dy 3.61
Sm  0.7498  0.7498  0.2476  3 Th 3.56, 6 Sm 3.58-3.59, 2 Tm 3.61, 1 Dy 3.61
Sm  0.9175  0.5839  0.7524  3 Th 3.56, 6 Sm 3.58-3.59, 2 Tm 3.61, 1 Dy 3.61
Dy  0.5000  0.5000  0.5000  6 Tm 3.58-3.59, 6 Sm 3.61
Tm  0.1667  0.8333  0.5000  3 Dy 3.58-3.59, 3 Tm 3.59, 6 Sm 3.61
Tm  0.8333  0.1667  0.5000  3 Dy 3.58-3.59, 3 Tm 3.59, 6 Sm 3.61
Th  0.0000  0.0000  0.0000  6 Sm 3.56, 6 Th 3.59
Th  0.3335  0.6665  0.0000  6 Sm 3.56, 6 Th 3.58-3.59
Th  0.6665  0.3335  0.0000  6 Sm 3.56, 6 Th 3.58-3.59


DFT (PBE) results for Er2Cd5Hg after structural relaxation.

Summary:
* relative energy among the computed polymorphs: 0.0 meV per atom
* final energy: -1.998 eV per atom
* DFT formation energy: -23.9 kJ/mol of atoms
* V: 190.4 Å³/f.u.

Cell lengths 6.5640, 13.1046, 4.4280 Å; angles 90.00, 90.00, 90.00 degrees
Closest atoms and distances in Å follow each position.
Positions (direct):
Er  0.2326  0.1209  0.0000  2 Hg 3.12, 10 Cd 3.22-3.29
Er  0.2674  0.6209  0.0000  2 Hg 3.12, 10 Cd 3.22-3.29
Er  0.7326  0.3791  0.0000  2 Hg 3.12, 10 Cd 3.22-3.29
Er  0.7674  0.8791  0.0000  2 Hg 3.12, 10 Cd 3.22-3.29
Cd  0.0000  0.5000  0.5000  6 Cd 3.18-3.24, 4 Er 3.24, 2 Hg 3.28
Cd  0.0152  0.7473  0.5000  7 Cd 3.16-3.28, 4 Er 3.22-3.24, 1 Hg 3.31
Cd  0.2338  0.3707  0.0000  6 Cd 3.16-3.20, 4 Er 3.27-3.29, 2 Hg 3.29
Cd  0.2662  0.8707  0.0000  6 Cd 3.16-3.20, 4 Er 3.27-3.29, 2 Hg 3.29
Cd  0.4848  0.2473  0.5000  7 Cd 3.16-3.28, 4 Er 3.22-3.24, 1 Hg 3.31
Cd  0.5000  0.0000  0.5000  6 Cd 3.18-3.24, 4 Er 3.24, 2 Hg 3.28
Cd  0.5152  0.7527  0.5000  7 Cd 3.16-3.28, 4 Er 3.22-3.24, 1 Hg 3.31
Cd  0.7338  0.1293  0.0000  6 Cd 3.16-3.20, 4 Er 3.27-3.29, 2 Hg 3.29
Cd  0.7662  0.6293  0.0000  6 Cd 3.16-3.20, 4 Er 3.27-3.29, 2 Hg 3.29
Cd  0.9848  0.2527  0.5000  7 Cd 3.16-3.28, 4 Er 3.22-3.24, 1 Hg 3.31
Hg  0.0000  0.0000  0.5000  4 Er 3.12, 8 Cd 3.28-3.31
Hg  0.5000  0.5000  0.5000  4 Er 3.12, 8 Cd 3.28-3.31


DFT (PBE) results for Fe2SiBP after structural relaxation.

Summary:
* final energy: -6.067 eV per atom
* V: 65.1 Å³/f.u.
* formation energy (no corrections): 820 meV per atom

Cell lengths 4.2900, 4.2900, 3.5376 Å; angles 90.00, 90.00, 90.00 degrees
Closest atoms and distances in Å follow each position.
Positions (direct):
Fe  0.0000  0.5000  0.0000  2 P 2.15
Fe  0.5000  0.0000  0.0000  2 P 2.15
Si  0.0000  0.0000  0.5000  8 Fe 2.78, 4 B 3.03
B  0.5000  0.5000  0.5000  2 P 1.77
P  0.5000  0.5000  0.0000  2 B 1.77


DFT (PBE) results for Pm3Pr2Sc after structural relaxation.

Summary:
* relative energy among the computed polymorphs: 221.1 meV per atom
* final energy: -4.765 eV per atom
* DFT formation energy: 24.9 kJ/mol of atoms
* V: 202.8 Å³/f.u.

Cell lengths 6.7605, 17.6484, 3.3999 Å; angles 90.00, 90.00, 90.00 degrees
Closest atoms and distances in Å follow each position.
Positions (direct):
Pm  0.0000  0.0000  0.0000  2 Pm 3.40, 4 Pr 3.55, 4 Sc 3.78
Pm  0.2458  0.1764  0.5000  4 Pr 3.39-3.53, 2 Pm 3.40, 1 Sc 3.56
Pm  0.2542  0.6764  0.0000  4 Pr 3.39-3.53, 2 Pm 3.40, 1 Sc 3.56
Pm  0.5000  0.5000  0.5000  2 Pm 3.40, 4 Pr 3.55, 4 Sc 3.78
Pm  0.7458  0.3236  0.0000  4 Pr 3.39-3.53, 2 Pm 3.40, 1 Sc 3.56
Pm  0.7542  0.8236  0.5000  4 Pr 3.39-3.53, 2 Pm 3.40, 1 Sc 3.56
Pr  0.2499  0.3515  0.0000  1 Sc 3.12, 2 Pm 3.39-3.44, 2 Pr 3.40
Pr  0.2501  0.8515  0.5000  1 Sc 3.12, 2 Pm 3.39-3.44, 2 Pr 3.40
Pr  0.7499  0.1485  0.5000  1 Sc 3.12, 2 Pm 3.39-3.44, 2 Pr 3.40
Pr  0.7501  0.6485  0.0000  1 Sc 3.12, 2 Pm 3.39-3.44, 2 Pr 3.40
Sc  0.0000  0.5000  0.0000  2 Pr 3.12, 2 Sc 3.40
Sc  0.5000  0.0000  0.5000  2 Pr 3.12, 2 Sc 3.40


DFT (PBE) results for Pr4GaGe after structural relaxation.

Summary:
* relative energy among the computed polymorphs: 183.3 meV per atom
* final energy: -4.740 eV per atom
* DFT formation energy: -27.0 kJ/mol of atoms
* V: 189.4 Å³/f.u.

Cell lengths 10.8813, 10.8813, 6.3296 Å; angles 90.00, 90.00, 149.65 degrees
Closest atoms and distances in Å follow each position.
Positions (direct):
Pr  0.0612  0.9388  0.7500  3 Ga 2.94-3.19
Pr  0.2109  0.7891  0.5017  5 Pr 3.14-3.51, 1 Ga 3.20, 3 Ge 3.23-3.46
Pr  0.2109  0.7891  0.9983  5 Pr 3.14-3.51, 1 Ga 3.20, 3 Ge 3.23-3.46
Pr  0.3901  0.6099  0.7500  2 Ga 2.92
Pr  0.6099  0.3901  0.2500  2 Ga 2.92
Pr  0.7891  0.2109  0.0017  5 Pr 3.14-3.51, 1 Ga 3.20, 3 Ge 3.23-3.46
Pr  0.7891  0.2109  0.4983  5 Pr 3.14-3.51, 1 Ga 3.20, 3 Ge 3.23-3.46
Pr  0.9388  0.0612  0.2500  3 Ga 2.94-3.19
Ga  0.0789  0.9211  0.2500  7 Pr 2.92-3.20
Ga  0.9211  0.0789  0.7500  7 Pr 2.92-3.20
Ge  0.3449  0.6551  0.2500  10 Pr 3.23-3.46
Ge  0.6551  0.3449  0.7500  10 Pr 3.23-3.46


DFT (PBE) results for ZrBe2Pb after structural relaxation.

Summary:
* final energy: -4.780 eV per atom
* DFT formation energy: 14.2 kJ/mol of atoms
* V: 65.7 Å³/f.u.

Cell lengths 3.8207, 3.7234, 4.9889 Å; angles 90.00, 112.31, 90.00 degrees
Closest atoms and distances in Å follow each position.
Positions (direct):
Zr  0.0000  0.0000  0.0000  7 Be 2.66-2.77
Be  0.3019  0.0000  0.5993  2 Be 2.22
Be  0.4307  0.5000  0.8607  2 Be 2.22
Pb  0.7145  0.5000  0.4240  7 Be 2.60-2.79


DFT (PBE) results for NbGeTePO after structural relaxation.

Summary:
* relative energy among the computed polymorphs: 123.5 meV per atom
* final energy: -6.230 eV per atom
* V: 147.3 Å³/f.u.
* formation energy (no corrections): -591 meV per atom

Cell lengths 3.9572, 5.9649, 6.6844 Å; angles 111.00, 90.84, 90.05 degrees
Closest atoms and distances in Å follow each position.
Positions (direct):
Nb  0.0000  0.0000  0.0000  1 O 1.79
Ge  0.5047  0.4897  0.1477  1 P 2.47, 2 O 2.68-2.69
Te  0.0101  0.3365  0.3896  1 Nb 2.66, 2 Ge 2.90
P  0.4962  0.1094  0.8351  2 Nb 2.46, 1 Ge 2.47
O  0.9994  0.7055  0.0125  1 Nb 1.79